[1]
A geometry-optimized La2HoIn3Te6 structure, computed with GGA-PBE.

Output
Final energy = -107.69 eV/cell

a b c (Å): 7.8879 13.6502 8.5125
angles (deg): 90.00 107.98 90.00
Space group C2/m (No. 12)
Symmetry-distinct sites (fractional):
La 0.0000 0.1663 0.0000 x4
Ho 0.0000 0.5000 0.0000 x2
In 0.0000 0.0000 0.5000 x2
In 0.0000 0.3312 0.5000 x4
Te 0.2347 0.3395 0.2226 x8
Te 0.2454 0.5000 0.7737 x4

---

[2]
A geometry-optimized Ca5Al2Sb6 structure, computed with GGA-PBE.

Output
D(E_F) = 0.0622 states/eV per atom
Final energy = -104.63 eV/cell

a b c (Å): 12.1208 14.1383 4.4996
angles (deg): 90.00 90.00 90.00
Space group Pbam (No. 55)
Symmetry-distinct sites (fractional):
Ca 0.0000 0.0000 0.0000 x2
Ca 0.0927 0.2473 0.0000 x4
Ca 0.1733 0.5141 0.0000 x4
Al 0.1685 0.7114 0.5000 x4
Sb 0.0254 0.3998 0.5000 x4
Sb 0.1561 0.0933 0.5000 x4
Sb 0.1612 0.8217 0.0000 x4

---

[3]
A geometry-optimized KLi2Hf4 structure, computed with GGA-PBE.

Output
D(E_F) = 1.0563 states/eV per atom
ΔE_f = 1828.4 meV per atom

a b c (Å): 4.7994 4.7994 13.9500
angles (deg): 90.00 90.00 90.00
Space group I4/mmm (No. 139)
Symmetry-distinct sites (fractional):
K 0.0000 0.0000 0.0000 x2
Li 0.0000 0.0000 0.3859 x4
Hf 0.0000 0.0000 0.1905 x4
Hf 0.0000 0.5000 0.0000 x4